No. 1
{"formula": "Pm4PrTm", "functional": "PBE", "state": "optimized geometry", "energy_ev_per_atom": -4.59, "de_polymorph_mev_per_atom": 9, "space_group": "P2_1/m (11)", "magmom_total_mub_per_fu": 0.00, "delta_e_f_kj_per_mol_atoms": 11.59, "cell": [[6.6531, 0.4073, 0.0000], [-2.6976, 8.7098, 0.0000], [0.0000, 0.0000, 6.9551]], "species": ["Pm", "Pm", "Pm", "Pm", "Pm", "Pm", "Pm", "Pm", "Pr", "Pr", "Tm", "Tm"], "frac_coords": [[0.3083, 0.4950, 0.7500], [0.6917, 0.5050, 0.2500], [0.4099, 0.1535, 0.7500], [0.5901, 0.8465, 0.2500], [0.0934, 0.8171, 0.0003], [0.9066, 0.1829, 0.5003], [0.0934, 0.8171, 0.4997], [0.9066, 0.1829, 0.9997], [0.6144, 0.8376, 0.7500], [0.3856, 0.1624, 0.2500], [0.8201, 0.4973, 0.7500], [0.1799, 0.5027, 0.2500]]}

No. 2
{"formula": "SmZn12Ga6", "functional": "PBE", "state": "optimized geometry", "energy_ev_per_atom": -1.97, "space_group": "R-3m (166)", "magmom_total_mub_per_fu": 0.00, "delta_e_f_kj_per_mol_atoms": 3.29, "cell": [[7.2261, 0.1105, 0.1556], [-1.6842, 7.0279, 0.1556], [-1.6842, -2.1694, 6.6865]], "species": ["Sm", "Zn", "Zn", "Zn", "Zn", "Zn", "Zn", "Zn", "Zn", "Zn", "Zn", "Zn", "Zn", "Ga", "Ga", "Ga", "Ga", "Ga", "Ga"], "frac_coords": [[0.0000, 0.0000, 0.0000], [0.8923, 0.1077, 0.5000], [0.8724, 0.6324, 0.6324], [0.6324, 0.6324, 0.8724], [0.3676, 0.1276, 0.3676], [0.3676, 0.3676, 0.1276], [0.1276, 0.3676, 0.3676], [0.1077, 0.5000, 0.8923], [0.5000, 0.8923, 0.1077], [0.1077, 0.8923, 0.5000], [0.8923, 0.5000, 0.1077], [0.5000, 0.1077, 0.8923], [0.6324, 0.8724, 0.6324], [0.7093, 0.2960, 0.2960], [0.2960, 0.2960, 0.7093], [0.2960, 0.7093, 0.2960], [0.7040, 0.7040, 0.2907], [0.2907, 0.7040, 0.7040], [0.7040, 0.2907, 0.7040]]}

No. 3
{"formula": "TcBiHN2", "functional": "PBE", "state": "optimized geometry", "energy_ev_per_atom": -4.79, "space_group": "P4/mmm (123)", "magmom_total_mub_per_fu": 0.20, "cell": [[4.0361, 0.0000, 0.0000], [0.0000, 3.6111, 0.0000], [0.0000, 0.0000, 4.0361]], "species": ["H", "N", "N", "Bi", "Tc"], "frac_coords": [[0.0000, 0.0000, 0.0000], [0.0000, 0.0000, 0.5000], [0.5000, 0.0000, 0.0000], [0.0000, 0.5000, 0.0000], [0.5000, 0.5000, 0.5000]]}

No. 4
{"formula": "Ni2HgMo", "functional": "PBE", "state": "optimized geometry", "energy_ev_per_atom": -5.37, "space_group": "Cm (8)", "magmom_total_mub_per_fu": 0.00, "delta_e_f_kj_per_mol_atoms": 29.61, "cell": [[0.0223, -3.6944, 3.1886], [-0.4009, -4.8120, 0.7072], [4.3749, -1.5583, -0.0443]], "species": ["Hg", "Mo", "Ni", "Ni"], "frac_coords": [[0.4893, 0.4893, 0.5424], [0.2675, 0.2675, 0.1916], [0.0122, 0.0122, 0.0321], [0.7309, 0.7309, 0.7339]]}

No. 5
{"formula": "K2RbNaCu", "functional": "PBE", "state": "optimized geometry", "energy_ev_per_atom": -1.51, "de_polymorph_mev_per_atom": 0, "space_group": "P4/mmm (123)", "magmom_total_mub_per_fu": 0.00, "delta_e_f_kj_per_mol_atoms": 19.87, "cell": [[6.6154, 0.0000, 0.0000], [0.0000, 6.6154, 0.0000], [0.0000, 0.0000, 5.9799]], "species": ["Na", "K", "K", "Cu", "Rb"], "frac_coords": [[0.0000, 0.0000, 0.5000], [0.0000, 0.5000, 0.0000], [0.5000, 0.0000, 0.0000], [0.0000, 0.0000, 0.0000], [0.5000, 0.5000, 0.5000]]}

No. 6
{"formula": "Hf4FeP", "functional": "PBE", "state": "optimized geometry", "energy_ev_per_atom": -9.22, "space_group": "P2_1/c (14)", "magmom_total_mub_per_fu": 0.00, "delta_e_f_kj_per_mol_atoms": -25.98, "cell": [[5.8978, 0.0000, 0.0000], [0.0000, 6.6946, 0.0996], [0.0000, -2.5666, 6.2129]], "species": ["Hf", "Hf", "Hf", "Hf", "Hf", "Hf", "Hf", "Hf", "Fe", "Fe", "P", "P"], "frac_coords": [[0.2242, 0.7981, 0.1917], [0.2758, 0.2981, 0.1917], [0.7373, 0.6865, 0.3391], [0.2373, 0.8135, 0.6609], [0.7627, 0.1865, 0.3391], [0.2627, 0.3135, 0.6609], [0.7242, 0.7019, 0.8083], [0.7758, 0.2019, 0.8083], [0.0000, 0.5000, 0.5000], [0.5000, 0.0000, 0.5000], [0.5000, 0.5000, 0.0000], [0.0000, 0.0000, 0.0000]]}

No. 7
{"formula": "TaPb3C", "functional": "PBE", "state": "optimized geometry", "energy_ev_per_atom": -4.86, "de_polymorph_mev_per_atom": 0, "space_group": "Pm-3m (221)", "magmom_total_mub_per_fu": 0.00, "delta_e_f_kj_per_mol_atoms": 152.64, "cell": [[-4.3894, -0.3878, -2.1075], [0.6527, -4.8177, -0.4729], [-2.0411, -0.7065, 4.3811]], "species": ["Pb", "Pb", "Pb", "C", "Ta"], "frac_coords": [[0.0000, 0.5000, 0.0000], [0.0000, 0.0000, 0.5000], [0.5000, 0.0000, 0.0000], [0.0000, 0.0000, 0.0000], [0.5000, 0.5000, 0.5000]]}

No. 8
{"formula": "AcPm4Pr2", "functional": "PBE", "state": "optimized geometry", "energy_ev_per_atom": -4.47, "de_polymorph_mev_per_atom": 0, "space_group": "P4_2/mnm (136)", "magmom_total_mub_per_fu": 0.00, "delta_e_f_kj_per_mol_atoms": 18.99, "cell": [[5.9128, 0.0000, 0.0000], [0.0000, 9.4908, 0.0000], [0.0000, 0.0000, 9.4908]], "species": ["Ac", "Ac", "Pm", "Pm", "Pm", "Pm", "Pm", "Pm", "Pm", "Pm", "Pr", "Pr", "Pr", "Pr"], "frac_coords": [[0.5000, 0.0000, 0.0000], [0.0000, 0.5000, 0.5000], [0.0000, 0.1243, 0.3845], [0.0000, 0.8757, 0.6155], [0.5000, 0.1155, 0.6243], [0.5000, 0.8845, 0.3757], [0.5000, 0.3757, 0.8845], [0.5000, 0.6243, 0.1155], [0.0000, 0.3845, 0.1243], [0.0000, 0.6155, 0.8757], [0.0000, 0.1958, 0.8042], [0.0000, 0.8042, 0.1958], [0.5000, 0.6958, 0.6958], [0.5000, 0.3042, 0.3042]]}

No. 9
{"formula": "PmDySi", "functional": "PBE", "state": "optimized geometry", "energy_ev_per_atom": -5.38, "e_form_raw_ev_per_atom": -0.456, "de_polymorph_mev_per_atom": 86, "space_group": "F-43m (216)", "magmom_total_mub_per_fu": 0.00, "cell": [[4.9161, 0.0000, 0.0000], [2.4580, 4.2574, 0.0000], [2.4580, 1.4191, 4.0139]], "species": ["Si", "Pm", "Dy"], "frac_coords": [[0.2500, 0.2500, 0.2500], [0.0000, 0.0000, 0.0000], [0.5000, 0.5000, 0.5000]]}

No. 10
{"formula": "Be2PPb", "functional": "PBE", "state": "optimized geometry", "energy_ev_per_atom": -3.63, "de_polymorph_mev_per_atom": 362, "space_group": "Pmmm (47)", "magmom_total_mub_per_fu": 0.00, "delta_e_f_kj_per_mol_atoms": 49.01, "cell": [[3.0916, 0.0000, 0.0000], [0.0000, 3.1978, 0.0000], [0.0000, 0.0000, 6.5967]], "species": ["Pb", "P", "Be", "Be"], "frac_coords": [[0.5000, 0.5000, 0.7500], [0.5000, 0.5000, 0.2500], [0.0000, 0.0000, 0.0945], [0.0000, 0.0000, 0.4055]]}

No. 11
{"formula": "KPa2Ni2S6", "functional": "PBE", "state": "optimized geometry", "energy_ev_per_atom": -6.30, "e_form_raw_ev_per_atom": -1.175, "space_group": "P-1 (2)", "magmom_total_mub_per_fu": 1.04, "cell": [[7.0674, -0.0152, -0.0207], [3.4818, 6.1579, -0.4635], [-0.0241, -3.9141, 6.4515]], "species": ["K", "Pa", "Pa", "Ni", "Ni", "S", "S", "S", "S", "S", "S"], "frac_coords": [[0.5000, 0.0000, 0.5000], [0.8333, 0.3360, 0.8278], [0.1667, 0.6640, 0.1722], [0.1862, 0.7810, 0.8392], [0.8138, 0.2190, 0.1608], [0.4086, 0.7944, 0.0433], [0.9618, 0.4356, 0.1802], [0.1990, 0.8210, 0.5712], [0.0382, 0.5644, 0.8198], [0.8010, 0.1790, 0.4288], [0.5914, 0.2056, 0.9567]]}

No. 12
{"formula": "KTe2Ru", "functional": "PBE", "state": "optimized geometry", "energy_ev_per_atom": -4.18, "e_form_raw_ev_per_atom": -0.018, "de_polymorph_mev_per_atom": 351, "space_group": "P4mm (99)", "magmom_total_mub_per_fu": 0.00, "cell": [[-3.4739, 1.2093, 0.7010], [-1.3565, -3.3695, -0.9097], [0.7820, -2.5476, 8.2704]], "species": ["K", "Ru", "Te", "Te"], "frac_coords": [[0.0000, 0.0000, 0.4774], [0.5000, 0.5000, 0.9322], [0.0000, 0.0000, 0.8674], [0.5000, 0.5000, 0.2230]]}